*one*
VCo2Ni6: optimized geometry, PBE-GGA.

Output
Density of states at the Fermi level   12.49 states/eV/f.u.
Calculated volume   11.28 A^3/atom

Structure (POSCAR):
```
VCo2Ni6
1.0
2.3567 0.0000 -0.6303
-0.7533 6.1348 -2.8165
0.6278 -0.4382 7.0682
V Co Ni
1 2 6
Cartesian
-0.3766 3.0674 -1.4082
0.4356 0.8011 1.6285
1.7957 4.8956 1.9929
0.8042 2.8025 3.0067
1.4271 2.8942 0.6147
1.1619 5.0534 -0.3766
1.0480 1.0616 -0.8026
0.5554 5.0732 -2.6442
1.0693 0.6433 3.9979
```

*two*
VCo2Ni6: optimized geometry, PBE-GGA.

Output
Density of states at the Fermi level   12.08 states/eV/f.u.
Calculated volume   11.17 A^3/atom

Structure (POSCAR):
```
VCo2Ni6
1.0
-3.8144 -1.0853 -1.2224
1.9356 -2.4094 3.1440
-2.4866 6.6681 1.8168
V Co Ni
1 2 6
Cartesian
-1.2433 3.3341 0.9084
-3.9912 4.0607 1.7826
-0.3742 -0.8872 1.9557
-3.9402 2.0426 3.4154
-2.3232 -0.3976 0.5585
-2.0423 3.5711 3.1799
-3.1413 1.8355 1.1181
-1.2242 1.3380 2.6202
-0.4253 1.1309 0.3229
```

Of them, *one* has the lowest stability.

*one*
V3CoNi: optimized geometry, PBE-GGA.

Output
Density of states at the Fermi level   6.46 states/eV/f.u.
Calculated volume   15.36 A^3/atom

Structure (POSCAR):
```
V3CoNi
1.0
-1.4149 -3.9769 -0.4976
3.8374 -1.1919 -1.3852
1.1565 -0.9104 3.9874
Ni Co V
1 1 3
Cartesian
1.7895 -3.0396 1.0523
0.0000 0.0000 0.0000
1.9187 -0.5960 -0.6926
0.5783 -0.4552 1.9937
-0.7074 -1.9885 -0.2488
```

*two*
V3CoNi: optimized geometry, PBE-GGA.

Output
Density of states at the Fermi level   7.97 states/eV/f.u.
Calculated volume   12.89 A^3/atom

Structure (POSCAR):
```
V3CoNi
1.0
4.9458 0.0000 0.6551
0.0000 6.2808 0.0000
-0.7031 0.0000 4.0563
V Co Ni
6 2 2
Cartesian
3.3791 0.3617 1.7768
0.8636 5.9191 2.9346
0.8636 3.5021 2.9346
3.3791 2.7787 1.7768
-0.0267 4.7106 0.6662
4.2694 1.5702 4.0452
3.2585 4.7106 3.3483
0.9842 1.5702 1.3631
2.2407 4.7106 1.0593
2.0020 1.5702 3.6521
```

Of them, *one* has the lowest stability.

*one*
VCoNi4: optimized geometry, PBE-GGA.

Output
Density of states at the Fermi level   5.90 states/eV/f.u.
Calculated volume   11.50 A^3/atom

Structure (POSCAR):
```
VCoNi4
1.0
-1.7212 -3.4309 -1.5073
-2.4304 -0.6461 4.2347
-6.4001 3.3398 -0.2992
V Co Ni
2 2 8
Cartesian
-8.1310 1.6286 2.7433
-2.4206 -2.3658 -0.3152
-6.8871 1.9313 0.6394
-3.6646 -2.6686 1.7888
-4.6715 -1.3859 -0.0135
-6.5615 -0.0421 -0.8955
-4.6858 0.9476 0.3325
-2.7880 -0.3844 1.2157
-5.8802 0.6486 2.4416
-5.8659 -1.6848 2.0957
-3.9902 -0.6951 3.3237
-7.7637 -0.3528 1.2125
```

*two*
VCoNi4: optimized geometry, PBE-GGA.

Output
Density of states at the Fermi level   5.12 states/eV/f.u.
Calculated volume   11.52 A^3/atom

Structure (POSCAR):
```
VCoNi4
1.0
-3.1320 2.4800 -2.2948
-1.7124 -1.5661 -3.9800
-4.3701 -1.4421 -0.2188
Ni Co V
4 1 1
Cartesian
-3.5712 0.3927 -3.9510
-4.9037 0.4548 -2.0653
-5.7622 -0.3303 -4.0607
-4.1920 -1.5736 -2.9102
0.0000 0.0000 0.0000
-2.3036 -0.1321 -1.6234
```

Of them, *two* has the lowest stability.

*one*
VCoNi: optimized geometry, PBE-GGA.

Output
Density of states at the Fermi level   3.61 states/eV/f.u.
Calculated volume   11.50 A^3/atom

Structure (POSCAR):
```
VCoNi
1.0
-1.4272 -0.3688 2.2050
4.2752 3.6755 3.3776
-0.1406 5.7995 4.0737
V Co Ni
2 2 2
Cartesian
0.5062 3.4990 3.0571
0.8248 6.2199 6.9088
2.4609 7.9932 6.6684
-1.0959 1.6981 3.3133
-1.0571 5.5114 5.5858
1.2015 4.4098 5.2583
```

*two*
VCoNi: optimized geometry, PBE-GGA.

Output
Density of states at the Fermi level   2.66 states/eV/f.u.
Calculated volume   11.46 A^3/atom

Structure (POSCAR):
```
VCoNi
1.0
-1.7050 0.6954 1.6221
2.5909 -0.6578 3.0054
-0.1813 3.6205 -1.7428
Ni Co V
1 1 1
Cartesian
-0.0602 0.0246 0.0573
0.6194 1.1955 2.4192
0.1454 2.4380 0.4082
```

*three*
VCoNi: optimized geometry, PBE-GGA.

Output
Density of states at the Fermi level   2.51 states/eV/f.u.
Calculated volume   11.36 A^3/atom

Structure (POSCAR):
```
VCoNi
1.0
2.6069 0.0286 -0.2518
0.0539 3.9083 1.0003
-0.6221 2.2940 7.3447
V Co Ni
2 2 2
Cartesian
0.8762 2.4694 2.5095
1.1624 3.7615 5.5837
-0.2229 1.9328 4.6661
2.2615 4.2981 3.4272
1.3460 5.3205 7.6198
0.6926 0.9104 0.4734
```

Of them, *two* has the lowest stability.

*one*
VCoNi: optimized geometry, PBE-GGA.

Output
Density of states at the Fermi level   4.21 states/eV/f.u.
Calculated volume   11.42 A^3/atom

Structure (POSCAR):
```
VCoNi
1.0
-0.6430 -1.2121 -2.1299
-1.1030 -1.8232 1.3705
-3.7352 4.2028 0.2429
Ni Co V
1 1 1
Cartesian
-1.9752 -0.8754 -0.4124
-2.6119 1.5219 -0.0775
-4.9929 0.8830 -0.5020
```

*two*
VCoNi: optimized geometry, PBE-GGA.

Output
Density of states at the Fermi level   3.66 states/eV/f.u.
Calculated volume   11.48 A^3/atom

Structure (POSCAR):
```
VCoNi
1.0
4.0970 0.0000 0.0000
2.0485 4.3561 0.1803
2.0485 1.3116 3.9146
Co V Ni
2 2 2
Cartesian
2.0485 1.0474 0.5181
6.1455 4.6203 3.5768
4.0970 1.6613 1.4686
4.0970 4.0064 2.6263
2.0485 3.5793 1.1208
6.1455 2.0883 2.9741
```

Of them, *one* has the lowest stability.

*one*
VCo3Ni4: optimized geometry, PBE-GGA.

Output
Density of states at the Fermi level   9.08 states/eV/f.u.
Calculated volume   11.03 A^3/atom

Structure (POSCAR):
```
VCo3Ni4
1.0
3.4890 0.0016 -0.0006
0.0022 3.4815 0.2215
-1.7448 1.2830 7.3440
V Co Ni
1 3 4
Cartesian
1.7445 0.0008 -0.0003
0.0011 1.7407 0.1107
0.0008 1.5143 3.6921
1.7456 3.2517 3.8728
1.7457 1.6271 1.9245
0.0006 3.1390 5.6404
1.7443 1.3992 5.5289
0.0021 3.3669 2.0359
```

*two*
VCo3Ni4: optimized geometry, PBE-GGA.

Output
Density of states at the Fermi level   12.88 states/eV/f.u.
Calculated volume   11.42 A^3/atom

Structure (POSCAR):
```
VCo3Ni4
1.0
0.2028 -1.6242 -1.7960
4.6288 -4.7110 4.7830
-6.1934 1.0067 0.0340
Ni Co V
4 3 1
Cartesian
-1.6393 -2.7687 2.3187
0.2776 -2.5597 0.7023
2.5811 -4.9041 3.0825
-3.9428 -0.4243 -0.0616
-1.7862 -1.0217 0.7222
0.4244 -4.3067 2.2987
2.3144 -2.3555 2.3915
0.1014 -0.8121 -0.8980
```

Of them, *two* has the lowest stability.